[1]
Below is an optimized crystal structure of Ac2Zn9Rh3, with properties calculated at the PBE level.

VASP energy ... -3.35 eV/atom
Size of the total moment ... 0.0 μB per formula unit

```
Ac2Zn9Rh3
1.0
7.1198 -3.6902 0.0000
7.1198 3.6902 0.0000
-5.1569 0.0000 9.7418
Ac Zn Rh
4 18 6
Direct
0.1092 0.2425 0.2327
0.2425 0.1092 0.7327
0.7575 0.8908 0.2673
0.8908 0.7575 0.7673
0.0464 0.8368 0.0971
0.1632 0.9536 0.4029
0.1952 0.3844 0.5611
0.2567 0.5541 0.2565
0.3325 0.6675 0.7500
0.3342 0.4921 0.9792
0.3844 0.1952 0.0611
0.4459 0.7433 0.2435
0.4921 0.3342 0.4792
0.5079 0.6658 0.5208
0.5541 0.2567 0.7565
0.6156 0.8048 0.9389
0.6658 0.5079 0.0208
0.6675 0.3325 0.2500
0.7433 0.4459 0.7435
0.8048 0.6156 0.4389
0.8368 0.0464 0.5971
0.9536 0.1632 0.9029
0.0000 0.5000 0.0000
0.1308 0.6982 0.4893
0.3018 0.8692 0.0107
0.5000 0.0000 0.5000
0.6982 0.1308 0.9893
0.8692 0.3018 0.5107
```



[2]
Below is an optimized crystal structure of Ac3ZnRh8, with properties calculated at the PBE level.

VASP energy ... -6.45 eV/atom
Size of the total moment ... 0.0 μB per formula unit

```
Ac3ZnRh8
1.0
2.7499 1.5877 8.9124
-2.7499 1.5877 8.9124
0.0000 -3.1754 8.9124
Ac Zn Rh
3 1 8
Direct
0.0000 0.0000 0.0000
0.1302 0.1302 0.1302
0.6124 0.6124 0.6124
0.4813 0.4813 0.4813
0.0603 0.0603 0.5609
0.0603 0.5609 0.0603
0.0627 0.5642 0.5642
0.3126 0.3126 0.3126
0.5609 0.0603 0.0603
0.5642 0.0627 0.5642
0.5642 0.5642 0.0627
0.8128 0.8128 0.8128
```



[3]
Below is an optimized crystal structure of AcZn5Rh2, with properties calculated at the PBE level.

VASP energy ... -3.54 eV/atom
Size of the total moment ... 0.0 μB per formula unit

```
AcZn5Rh2
1.0
4.1020 0.0000 0.0000
0.0000 7.5746 0.0000
0.0000 0.0000 9.5718
Ac Zn Rh
2 10 4
Direct
0.0000 0.0000 0.0000
0.5000 0.5000 0.5000
0.0000 0.1793 0.3431
0.0000 0.1793 0.6569
0.0000 0.5000 0.0000
0.0000 0.8207 0.3431
0.0000 0.8207 0.6569
0.5000 0.0000 0.5000
0.5000 0.3207 0.1569
0.5000 0.3207 0.8431
0.5000 0.6793 0.1569
0.5000 0.6793 0.8431
0.0000 0.5000 0.2594
0.0000 0.5000 0.7406
0.5000 0.0000 0.2406
0.5000 0.0000 0.7594
```



[4]
Below is an optimized crystal structure of AcZn2Rh2, with properties calculated at the PBE level.

VASP energy ... -4.83 eV/atom
Size of the total moment ... 0.0 μB per formula unit
Polymorph energy (0 for the lowest one) ... 0 meV per atom

```
AcZn2Rh2
1.0
4.0896 0.0000 0.0000
0.0000 4.0896 0.0000
0.0000 0.0000 5.8884
Ac Zn Rh
1 2 2
Direct
0.0000 0.0000 0.0000
0.0000 0.5000 0.5000
0.5000 0.0000 0.5000
0.5000 0.5000 0.2351
0.5000 0.5000 0.7649
```



Values for formation energy from the elements, eV/atom, ordered as above
-0.371; -0.414; -0.391; -0.560